Arrangement 1

Crystalline AcUAs2 at its relaxed geometry. Source: Alexandria via LeMat-Bulk, functional PBE.

SG = R-3m, No. 166
Density of states at the Fermi level = 5.597 states/eV/f.u.

The structure in POSCAR format:
```
AcUAs2
1.0
4.262 0.000 0.000
2.131 3.691 0.000
2.131 1.230 7.192
U As Ac
1 2 1
Cartesian
0.000 0.000 0.000
6.392 3.691 5.605
2.131 1.230 1.588
4.262 2.460 3.596
```

---

Arrangement 2

Crystalline AcUAs2 at its relaxed geometry. Source: Alexandria via LeMat-Bulk, functional PBE.

SG = P6_3/mmc, No. 194
Density of states at the Fermi level = 5.857 states/eV/f.u.

The structure in POSCAR format:
```
AcUAs2
1.0
-3.757 -1.492 -1.276
2.829 -2.614 1.769
-5.562 2.826 13.074
As U Ac
4 2 2
Cartesian
-1.538 -1.137 5.859
0.024 -1.931 2.186
-6.514 0.651 11.381
-4.952 -0.143 7.708
0.000 0.000 0.000
-2.781 1.413 6.537
-3.538 -0.120 10.559
-2.952 -1.159 3.007
```

---

Most stable: arrangement 1. Least stable: arrangement 2.

---

Arrangement 1

Crystalline AcUAs at its relaxed geometry. Source: Alexandria via LeMat-Bulk, functional PBE.

SG = I4mm, No. 107
Density of states at the Fermi level = 6.976 states/eV/f.u.

The structure in POSCAR format:
```
AcUAs
1.0
3.790 0.000 0.000
0.000 3.790 0.000
-1.895 -1.895 6.118
As U Ac
1 1 1
Cartesian
0.000 0.000 0.278
1.895 1.895 1.528
0.000 0.000 4.313
```

---

Arrangement 2

Crystalline AcUAs at its relaxed geometry. Source: Alexandria via LeMat-Bulk, functional PBE.

SG = Cmcm, No. 63
Density of states at the Fermi level = 6.684 states/eV/f.u.

The structure in POSCAR format:
```
AcUAs
1.0
5.534 -0.555 0.000
-1.559 5.339 0.000
0.000 0.000 6.117
Ac U As
2 2 2
Cartesian
2.978 1.568 4.588
0.997 3.215 1.529
0.000 0.000 0.000
0.000 0.000 3.058
3.547 1.096 1.529
0.428 3.688 4.588
```

---

Most stable: arrangement 1. Least stable: arrangement 2.

---

Arrangement 1

Crystalline AcVAs2 at its relaxed geometry. Source: Alexandria via LeMat-Bulk, functional PBE.

SG = P4/mmm, No. 123
Density of states at the Fermi level = 3.758 states/eV/f.u.

The structure in POSCAR format:
```
AcVAs2
1.0
3.391 0.000 0.000
0.000 3.391 0.000
0.000 0.000 7.255
Ac As V
1 2 1
Cartesian
1.696 1.696 3.627
0.000 0.000 5.871
0.000 0.000 1.384
1.696 1.696 0.000
```

---

Arrangement 2

Crystalline AcVAs2 at its relaxed geometry. Source: Alexandria via LeMat-Bulk, functional PBE.

SG = R-3m, No. 166
Density of states at the Fermi level = 4.331 states/eV/f.u.

The structure in POSCAR format:
```
AcVAs2
1.0
-2.613 3.175 -0.299
-2.772 0.108 -3.050
-6.027 -2.036 2.619
As Ac V
2 1 1
Cartesian
-8.829 0.735 -0.309
-2.582 0.512 -0.422
-5.706 0.624 -0.365
0.000 0.000 0.000
```

---

Arrangement 3

Crystalline AcVAs2 at its relaxed geometry. Source: Alexandria via LeMat-Bulk, functional PBE.

SG = Fm-3m, No. 225
Density of states at the Fermi level = 2.202 states/eV/f.u.

The structure in POSCAR format:
```
AcVAs2
1.0
-4.933 0.968 0.518
-3.366 -2.415 -2.894
-3.056 -3.471 2.038
V As Ac
1 2 1
Cartesian
-5.678 -2.459 -0.169
-8.517 -3.688 -0.254
-2.839 -1.229 -0.085
0.000 0.000 0.000
```

---

Most stable: arrangement 2. Least stable: arrangement 1.

---

Arrangement 1

Crystalline AcVAs at its relaxed geometry. Source: Alexandria via LeMat-Bulk, functional PBE.

SG = I4mm, No. 107
Density of states at the Fermi level = 2.425 states/eV/f.u.

The structure in POSCAR format:
```
AcVAs
1.0
-1.720 2.828 0.981
-2.568 -0.812 -2.160
-0.416 -4.011 4.762
As V Ac
1 1 1
Cartesian
-3.235 -0.272 1.189
-1.495 -1.754 2.437
-4.677 -1.965 3.541
```

---

Arrangement 2

Crystalline AcVAs at its relaxed geometry. Source: Alexandria via LeMat-Bulk, functional PBE.

SG = R-3m, No. 166
Density of states at the Fermi level = 3.590 states/eV/f.u.

The structure in POSCAR format:
```
AcVAs
1.0
-3.964 -2.105 2.659
-0.426 -5.185 0.377
2.926 -2.307 7.652
V Ac As
2 2 2
Cartesian
0.620 -2.372 4.164
-2.084 -7.225 6.525
-1.922 -4.832 3.544
0.458 -4.765 7.145
-0.731 -7.188 8.570
-0.732 -2.410 2.118
```

---

Arrangement 3

Crystalline AcVAs at its relaxed geometry. Source: Alexandria via LeMat-Bulk, functional PBE.

SG = P-6m2, No. 187
Density of states at the Fermi level = 3.880 states/eV/f.u.

The structure in POSCAR format:
```
AcVAs
1.0
-3.331 -1.895 2.438
-2.076 -1.171 -3.746
2.936 -2.759 1.867
As V Ac
1 1 1
Cartesian
-0.555 -0.316 0.406
0.710 -2.546 0.402
-2.626 -2.964 -0.250
```

---

Most stable: arrangement 3. Least stable: arrangement 2.

---

Arrangement 1

Crystalline AcYAs2 at its relaxed geometry. Source: Alexandria via LeMat-Bulk, functional PBE.

SG = R3m, No. 160
Density of states at the Fermi level = 0.261 states/eV/f.u.

The structure in POSCAR format:
```
AcYAs2
1.0
4.284 0.000 0.000
2.142 3.710 0.000
2.142 1.237 7.414
Y As Ac
1 2 1
Cartesian
4.284 2.473 3.744
2.142 1.237 1.999
2.142 1.237 5.438
6.426 3.710 7.354
```

---

Arrangement 2

Crystalline AcYAs2 at its relaxed geometry. Source: Alexandria via LeMat-Bulk, functional PBE.

SG = Fm-3m, No. 225
Density of states at the Fermi level = 1.309 states/eV/f.u.

The structure in POSCAR format:
```
AcYAs2
1.0
-2.937 1.466 -4.136
1.132 -1.829 -4.822
-3.214 -3.486 -2.323
Y As Ac
1 2 1
Cartesian
-2.510 -1.925 -5.641
-3.765 -2.887 -8.461
-1.255 -0.962 -2.820
0.000 0.000 0.000
```

---

Arrangement 3

Crystalline AcYAs2 at its relaxed geometry. Source: Alexandria via LeMat-Bulk, functional PBE.

SG = R-3m, No. 166
Density of states at the Fermi level = 0.431 states/eV/f.u.

The structure in POSCAR format:
```
AcYAs2
1.0
4.340 0.000 0.000
2.170 3.759 0.000
2.170 1.253 7.084
As Y Ac
2 1 1
Cartesian
6.510 3.759 5.471
2.170 1.253 1.613
0.000 0.000 0.000
4.340 2.506 3.542
```

---

Most stable: arrangement 3. Least stable: arrangement 2.

---

Arrangement 1

Crystalline AcAu2 at its relaxed geometry. Source: Alexandria via LeMat-Bulk, functional PBE.

SG = Fd-3m, No. 227
Density of states at the Fermi level = 1.521 states/eV/f.u.

The structure in POSCAR format:
```
AcAu2
1.0
-1.731 -0.052 -5.675
-1.893 -5.048 -2.477
-5.739 -0.674 -1.344
Ac Au
2 4
Cartesian
-2.341 -1.444 -2.374
0.000 0.000 0.000
-4.906 -1.085 -4.697
-2.983 -3.272 -5.263
-5.853 -3.609 -5.935
-4.987 -3.583 -3.098
```

---

Arrangement 2

Crystalline AcAu2 at its relaxed geometry. Source: Alexandria via LeMat-Bulk, functional PBE.

SG = C2/m, No. 12
Density of states at the Fermi level = 1.690 states/eV/f.u.

The structure in POSCAR format:
```
AcAu2
1.0
-2.142 -3.590 0.196
-0.049 -0.374 -4.168
4.812 -0.902 1.642
Au Ac
2 1
Cartesian
1.362 -4.095 -2.365
1.259 -0.770 0.036
-1.095 -1.982 -1.986
```

---

Most stable: arrangement 2. Least stable: arrangement 1.

---

Arrangement 1

Crystalline Ac3Au at its relaxed geometry. Source: Alexandria via LeMat-Bulk, functional PBE.

SG = I4/mmm, No. 139
Density of states at the Fermi level = 5.022 states/eV/f.u.

The structure in POSCAR format:
```
Ac3Au
1.0
5.069 0.000 0.000
0.000 5.069 0.000
-2.535 -2.535 5.573
Ac Au
3 1
Cartesian
2.535 2.535 0.000
2.535 0.000 2.787
0.000 2.535 2.787
0.000 0.000 0.000
```

---

Arrangement 2

Crystalline Ac3Au at its relaxed geometry. Source: Alexandria via LeMat-Bulk, functional PBE.

SG = Imm2, No. 44
Density of states at the Fermi level = 5.400 states/eV/f.u.

The structure in POSCAR format:
```
Ac3Au
1.0
4.010 0.000 0.000
0.000 6.446 0.000
-2.005 -3.223 5.942
Ac Au
3 1
Cartesian
2.005 -0.822 2.386
2.005 2.595 0.000
0.000 2.401 3.556
0.000 0.123 0.000
```

---

Most stable: arrangement 2. Least stable: arrangement 1.

---

Arrangement 1

Crystalline Ac2Au at its relaxed geometry. Source: Alexandria via LeMat-Bulk, functional PBE.

SG = Pnma, No. 62
Density of states at the Fermi level = 3.370 states/eV/f.u.

The structure in POSCAR format:
```
Ac2Au
1.0
4.138 0.000 0.000
0.000 9.796 0.000
0.000 0.000 10.742
Ac Au
8 4
Cartesian
3.104 9.744 8.812
1.035 1.649 5.653
3.104 8.147 5.088
1.035 4.950 3.441
3.104 4.846 7.301
3.104 3.249 0.283
1.035 6.547 10.459
1.035 0.052 1.930
1.035 2.672 8.703
1.035 7.570 7.410
3.104 2.226 3.332
3.104 7.124 2.039
```

---

Arrangement 2

Crystalline Ac2Au at its relaxed geometry. Source: Alexandria via LeMat-Bulk, functional PBE.

SG = Fddd, No. 70
Density of states at the Fermi level = 4.670 states/eV/f.u.

The structure in POSCAR format:
```
Ac2Au
1.0
6.348 0.000 -0.001
-0.012 6.348 -0.001
-3.163 -3.169 5.986
Au Ac
2 4
Cartesian
4.763 0.000 1.496
-1.591 3.179 4.489
1.589 0.000 1.639
-1.585 0.004 4.632
1.584 3.179 4.346
4.757 3.174 1.352
```

---

Most stable: arrangement 1. Least stable: arrangement 2.

---

Arrangement 1

Crystalline Ac3Au4 at its relaxed geometry. Source: Alexandria via LeMat-Bulk, functional PBE.

SG = C2/m, No. 12
Density of states at the Fermi level = 3.822 states/eV/f.u.

The structure in POSCAR format:
```
Ac3Au4
1.0
-2.041 -2.622 -2.170
-0.938 -2.000 3.297
-8.943 9.347 0.749
Au Ac
4 3
Cartesian
-9.340 4.982 2.766
-6.361 2.975 2.389
-2.582 -0.256 -0.890
-5.561 1.751 -0.513
-3.703 1.179 2.058
-8.219 3.547 -0.182
-0.469 -1.000 1.649
```

---

Arrangement 2

Crystalline Ac3Au4 at its relaxed geometry. Source: Alexandria via LeMat-Bulk, functional PBE.

SG = R-3, No. 148
Density of states at the Fermi level = 4.183 states/eV/f.u.

The structure in POSCAR format:
```
Ac3Au4
1.0
6.284 0.000 -1.641
-3.162 7.313 -3.538
0.040 0.000 8.718
Au Ac
8 6
Cartesian
4.107 1.191 4.086
-0.946 6.122 -0.548
0.000 0.000 0.000
1.168 3.586 -1.024
1.994 3.727 4.562
3.808 4.918 0.519
-0.646 2.395 3.019
3.142 0.000 -0.821
2.234 1.839 1.643
1.054 0.946 5.693
-1.303 4.528 5.237
0.928 5.474 1.895
4.465 2.785 -1.699
2.108 6.367 -2.155
```

---

Most stable: arrangement 2. Least stable: arrangement 1.

---

Arrangement 1

Crystalline Ac4Au at its relaxed geometry. Source: Alexandria via LeMat-Bulk, functional PBE.

SG = Pm-3m, No. 221
Density of states at the Fermi level = 9.937 states/eV/f.u.

The structure in POSCAR format:
```
Ac4Au
1.0
-0.048 -4.726 -3.896
-2.754 -3.463 4.235
-5.471 1.785 -2.098
Ac Au
4 1
Cartesian
-4.113 -0.839 1.069
-2.759 -1.471 -2.997
0.000 0.000 0.000
-1.401 -4.095 0.170
-4.136 -3.202 -0.879
```

---

Arrangement 2

Crystalline Ac4Au at its relaxed geometry. Source: Alexandria via LeMat-Bulk, functional PBE.

SG = Fdd2, No. 43
Density of states at the Fermi level = 7.412 states/eV/f.u.

The structure in POSCAR format:
```
Ac4Au
1.0
8.059 -0.456 0.000
-3.526 7.261 0.000
-2.266 -3.403 7.233
Ac Au
8 2
Cartesian
-0.308 2.442 2.528
-2.278 0.862 5.418
-3.421 4.515 4.705
-2.071 6.073 1.089
4.136 -2.974 6.144
1.752 0.634 5.431
3.940 1.633 1.815
2.177 5.264 1.802
1.496 2.245 0.000
3.259 -1.385 3.617
```

---

Most stable: arrangement 2. Least stable: arrangement 1.

---

Arrangement 1

Crystalline BaAcAu4 at its relaxed geometry. Source: Alexandria via LeMat-Bulk, functional PBE.

SG = I-4m2, No. 119
Density of states at the Fermi level = 2.908 states/eV/f.u.

The structure in POSCAR format:
```
BaAcAu4
1.0
-0.101 -0.827 -4.310
-2.145 -3.752 0.770
-6.661 6.606 1.124
Au Ba Ac
4 1 1
Cartesian
-5.171 2.427 -2.579
-6.582 3.651 -0.546
-2.714 1.064 -2.376
-2.324 -1.623 -1.870
-4.964 0.283 0.062
0.000 0.000 0.000
```

---

Arrangement 2

Crystalline BaAcAu4 at its relaxed geometry. Source: Alexandria via LeMat-Bulk, functional PBE.

SG = F-43m, No. 216
Density of states at the Fermi level = 6.018 states/eV/f.u.

The structure in POSCAR format:
```
BaAcAu4
1.0
5.984 0.000 0.000
2.992 5.182 0.000
2.992 1.727 4.886
Au Ac Ba
4 1 1
Cartesian
5.984 1.728 3.053
4.489 4.318 3.053
5.984 3.455 0.612
7.479 4.318 3.053
2.992 1.727 1.221
0.000 0.000 0.000
```

---

Most stable: arrangement 1. Least stable: arrangement 2.

---

Arrangement 1

Crystalline BaAc2Au3 at its relaxed geometry. Source: Alexandria via LeMat-Bulk, functional PBE.

SG = P6/mmm, No. 191
Density of states at the Fermi level = 3.879 states/eV/f.u.

The structure in POSCAR format:
```
BaAc2Au3
1.0
-4.467 0.214 0.323
-0.639 -2.968 -6.862
0.221 -4.477 6.018
Ac Au Ba
2 3 1
Cartesian
-0.066 -3.974 1.725
-0.353 -3.471 -2.569
-2.443 -3.615 -0.260
-2.553 -1.377 -3.269
-2.123 -2.131 3.171
0.000 0.000 0.000
```

---

Arrangement 2

Crystalline BaAc2Au3 at its relaxed geometry. Source: Alexandria via LeMat-Bulk, functional PBE.

SG = P4/mmm, No. 123
Density of states at the Fermi level = 4.317 states/eV/f.u.

The structure in POSCAR format:
```
BaAc2Au3
1.0
3.948 0.000 0.000
0.000 3.948 0.000
0.000 0.000 11.912
Au Ac Ba
3 2 1
Cartesian
0.000 0.000 8.211
0.000 0.000 0.000
0.000 0.000 3.700
1.974 1.974 9.944
1.974 1.974 1.967
1.974 1.974 5.956
```

---

Most stable: arrangement 2. Least stable: arrangement 1.